Here is a geometry-optimized Th2NiIr structure from Alexandria. Energies are from PBE.

a = 4.068 Å, b = 4.068 Å, c = 24.912 Å
α = 90.00°, β = 90.00°, γ = 120.00°
Positions (direct):
Th 0.000 0.000 0.102
Th 0.000 0.000 0.898
Th 0.333 0.667 0.564
Th 0.333 0.667 0.769
Th 0.667 0.333 0.231
Th 0.667 0.333 0.436
Ni 0.000 0.000 0.000
Ni 0.333 0.667 0.667
Ni 0.667 0.333 0.333
Ir 0.000 0.000 0.500
Ir 0.333 0.667 0.167
Ir 0.667 0.333 0.833

density of states at the Fermi level	12.53	states/eV per cell
ρ	10.0	g cm⁻³
spin magnetization	0.000	μB per cell
energy of formation	0.00	eV per atom